1.
DFT (meta-GGA SCAN) results for SnTe2CN at its PBEsol-relaxed geometry.

Summary:
The total moment is 0.8 μB per cell. For the formation energy without anion corrections, the calculation gives 2.153 eV/atom. The crystal system is tetragonal.

Cell: 5.710 5.710 3.848 Å, 90.00 90.00 90.00°
Space group P4/mmm (No. 123)
Symmetry-distinct sites (fractional):
Sn1 0.000 0.000 0.000
Te1 0.000 0.500 0.000
C1 0.500 0.500 0.500
N1 0.000 0.000 0.500

=====

2.
DFT (meta-GGA SCAN) results for BaSb12Os4 at its PBEsol-relaxed geometry.

Summary:
The total moment is 0.0 μB per cell. For the formation energy without anion corrections, the calculation gives -0.267 eV/atom. The crystal system is cubic.

Cell: 9.342 9.342 9.342 Å, 90.00 90.00 90.00°
Space group Im-3 (No. 204)
Symmetry-distinct sites (fractional):
Ba1 0.000 0.000 0.000
Sb1 0.000 0.159 0.343
Os1 0.250 0.250 0.250

=====

3.
DFT (meta-GGA SCAN) results for Tl2PbCl at its PBEsol-relaxed geometry.

Summary:
The total moment is 0.0 μB per cell. For the formation energy without anion corrections, the calculation gives -0.414 eV/atom. The crystal system is monoclinic. The relative energy among the computed polymorphs is 0.000 eV/atom.

Cell: 11.928 3.538 5.321 Å, 90.00 90.15 90.00°
Space group Cm (No. 8)
Symmetry-distinct sites (fractional):
Tl1 0.000 0.000 0.000
Tl2 0.220 0.500 0.505
Pb1 0.267 0.000 0.006
Cl1 0.475 0.000 0.501

=====

4.
DFT (meta-GGA SCAN) results for SrTe4Mo at its PBEsol-relaxed geometry.

Summary:
The total moment is 22.5 μB per cell. For the formation energy without anion corrections, the calculation gives 0.389 eV/atom. The crystal system is cubic.

Cell: 9.000 9.000 9.000 Å, 90.00 90.00 90.00°
Space group F-43m (No. 216)
Symmetry-distinct sites (fractional):
Sr1 0.000 0.000 0.000
Te1 0.124 0.124 0.376
Mo1 0.250 0.250 0.750

=====

5.
DFT (meta-GGA SCAN) results for Cr2NiRh at its PBEsol-relaxed geometry.

Summary:
The total moment is 0.2 μB per cell. The energy relative to the elements comes out at -17 meV/atom. The crystal system is orthorhombic.

Cell: 2.555 4.051 4.476 Å, 90.00 90.00 90.00°
Space group Pmm2 (No. 25)
Symmetry-distinct sites (fractional):
Cr1 0.000 0.000 0.000
Cr2 0.000 0.500 0.324
Ni1 0.500 0.500 0.847
Rh1 0.500 0.000 0.504

=====

6.
DFT (meta-GGA SCAN) results for TaRuPb2 at its PBEsol-relaxed geometry.

Summary:
The total moment is 8.5 μB per cell. The energy relative to the elements comes out at 759 meV/atom. The crystal system is cubic. The relative energy among the computed polymorphs is 0.089 eV/atom.

Cell: 6.762 6.762 6.762 Å, 90.00 90.00 90.00°
Space group Fm-3m (No. 225)
Symmetry-distinct sites (fractional):
Ta1 0.000 0.000 0.000
Ru1 0.000 0.000 0.500
Pb1 0.250 0.250 0.250

=====

7.
DFT (meta-GGA SCAN) results for ZrGeP2O at its PBEsol-relaxed geometry.

Summary:
The total moment is 0.0 μB per cell. For the formation energy without anion corrections, the calculation gives -0.235 eV/atom. The crystal system is tetragonal.

Cell: 4.707 4.707 3.633 Å, 90.00 90.00 90.00°
Space group P4/mmm (No. 123)
Symmetry-distinct sites (fractional):
Zr1 0.000 0.000 0.000
Ge1 0.500 0.500 0.500
P1 0.000 0.500 0.500
O1 0.500 0.500 0.000

=====

8.
DFT (meta-GGA SCAN) results for KSr4Cr at its PBEsol-relaxed geometry.

Summary:
The total moment is 18.5 μB per cell. The energy relative to the elements comes out at 586 meV/atom. The crystal system is cubic.

Cell: 10.699 10.699 10.699 Å, 90.00 90.00 90.00°
Space group F-43m (No. 216)
Symmetry-distinct sites (fractional):
K1 0.000 0.000 0.000
Sr1 0.124 0.124 0.376
Cr1 0.250 0.250 0.750

=====

9.
DFT (meta-GGA SCAN) results for Sr2NiPtN at its PBEsol-relaxed geometry.

Summary:
The total moment is 2.1 μB per cell. For the formation energy without anion corrections, the calculation gives 0.457 eV/atom. The crystal system is tetragonal.

Cell: 5.414 5.414 4.402 Å, 90.00 90.00 90.00°
Space group P4/mmm (No. 123)
Symmetry-distinct sites (fractional):
Sr1 0.000 0.500 0.000
Ni1 0.000 0.000 0.000
Pt1 0.000 0.000 0.500
N1 0.500 0.500 0.500

=====

10.
DFT (meta-GGA SCAN) results for TiHg3Br at its PBEsol-relaxed geometry.

Summary:
The total moment is 2.6 μB per cell. For the formation energy without anion corrections, the calculation gives 0.199 eV/atom. The crystal system is cubic.

Cell: 5.360 5.360 5.360 Å, 90.00 90.00 90.00°
Space group Pm-3m (No. 221)
Symmetry-distinct sites (fractional):
Ti1 0.000 0.000 0.000
Hg1 0.000 0.000 0.500
Br1 0.500 0.500 0.500

=====

11.
DFT (meta-GGA SCAN) results for Be2Ru at its PBEsol-relaxed geometry.

Summary:
The total moment is 0.0 μB per cell. The energy relative to the elements comes out at -440 meV/atom. The crystal system is hexagonal. The relative energy among the computed polymorphs is 0.000 eV/atom.

Cell: 3.8521 3.8521 4.4746 Å, 90.00 90.00 120.00°
Space group P6_3/mmc (No. 194)
Symmetry-distinct sites (fractional):
Be1 0.0000 0.0000 0.0000
Be2 0.3333 0.6667 0.2500
Ru1 0.3333 0.6667 0.7500

=====

12.
DFT (meta-GGA SCAN) results for Zr2Ag2N at its PBEsol-relaxed geometry.

Summary:
The total moment is 1.9 μB per cell. For the formation energy without anion corrections, the calculation gives 1.345 eV/atom. The crystal system is tetragonal.

Cell: 3.929 3.929 13.133 Å, 90.00 90.00 90.00°
Space group I4/mmm (No. 139)
Symmetry-distinct sites (fractional):
Zr1 0.000 0.500 0.250
Ag1 0.000 0.000 0.095
N1 0.000 0.000 0.500